Density functional theory data (GGA-PBE) for crystalline La5NdAl2 at its relaxed geometry. Values from VASP.

Output
Uncorrected energy, eV per atom: -4.722
D(E_F), states/eV/cell: 17.4
Formation energy from the elements, eV/atom: -0.111

Structure (Quantum ESPRESSO input):
```
&SYSTEM
  ibrav = 0, nat = 16, ntyp = 3
/
ATOMIC_SPECIES
La 138.91 La.upf
Nd 144.24 Nd.upf
Al 26.98 Al.upf
CELL_PARAMETERS angstrom
2.654 -6.118 0.000
2.654 6.118 0.000
0.000 0.000 15.813
ATOMIC_POSITIONS crystal
La 0.030 0.970 0.608
La 0.030 0.970 0.892
La 0.352 0.648 0.523
La 0.352 0.648 0.977
La 0.455 0.545 0.250
La 0.545 0.455 0.750
La 0.648 0.352 0.023
La 0.648 0.352 0.477
La 0.970 0.030 0.108
La 0.970 0.030 0.392
Nd 0.273 0.727 0.750
Nd 0.727 0.273 0.250
Al 0.223 0.777 0.153
Al 0.223 0.777 0.347
Al 0.777 0.223 0.653
Al 0.777 0.223 0.847
```

=====

Density functional theory data (GGA-PBE) for crystalline InCuPt3 at its relaxed geometry. Values from VASP.

Output
Uncorrected energy, eV per atom: -4.998
D(E_F), states/eV/cell: 5.2
Formation energy from the elements, eV/atom: -0.006

Structure (Quantum ESPRESSO input):
```
&SYSTEM
  ibrav = 0, nat = 10, ntyp = 3
/
ATOMIC_SPECIES
In 114.82 In.upf
Cu 63.55 Cu.upf
Pt 195.08 Pt.upf
CELL_PARAMETERS angstrom
6.545 0.000 0.000
-3.272 5.668 0.000
0.000 0.000 4.685
ATOMIC_POSITIONS crystal
In 0.333 0.667 0.250
In 0.667 0.333 0.750
Cu 0.000 0.000 0.000
Cu 0.000 0.000 0.500
Pt 0.196 0.392 0.750
Pt 0.196 0.804 0.750
Pt 0.392 0.196 0.250
Pt 0.608 0.804 0.750
Pt 0.804 0.196 0.250
Pt 0.804 0.608 0.250
```

=====

Density functional theory data (GGA-PBE) for crystalline LiTbAgAu at its relaxed geometry. Values from VASP.

Output
Uncorrected energy, eV per atom: -3.652
D(E_F), states/eV/cell: 2.0
Formation energy from the elements, eV/atom: -0.483

Structure (Quantum ESPRESSO input):
```
&SYSTEM
  ibrav = 0, nat = 4, ntyp = 4
/
ATOMIC_SPECIES
Li 6.94 Li.upf
Tb 158.93 Tb.upf
Ag 107.87 Ag.upf
Au 196.97 Au.upf
CELL_PARAMETERS angstrom
4.005 -2.312 0.000
4.005 2.312 0.000
-2.657 0.000 4.485
ATOMIC_POSITIONS crystal
Li 0.000 0.000 0.000
Tb 0.506 0.506 0.517
Ag 0.729 0.729 0.186
Au 0.281 0.281 0.845
```

=====

Density functional theory data (GGA-PBE) for crystalline LaCe2Th2 at its relaxed geometry. Values from VASP.

Output
Uncorrected energy, eV per atom: -6.290
D(E_F), states/eV/cell: 9.9
Formation energy from the elements, eV/atom: 0.037

Structure (Quantum ESPRESSO input):
```
&SYSTEM
  ibrav = 0, nat = 5, ntyp = 3
/
ATOMIC_SPECIES
La 138.91 La.upf
Ce 140.12 Ce.upf
Th 232.04 Th.upf
CELL_PARAMETERS angstrom
1.758 1.015 14.346
-1.758 1.015 14.346
0.000 -2.030 14.346
ATOMIC_POSITIONS crystal
La 0.000 0.000 0.000
Ce 0.198 0.198 0.198
Ce 0.802 0.802 0.802
Th 0.404 0.404 0.404
Th 0.596 0.596 0.596
```

=====

Density functional theory data (GGA-PBE) for crystalline CaY3Ir at its relaxed geometry. Values from VASP.

Output
Uncorrected energy, eV per atom: -5.695
D(E_F), states/eV/cell: 6.6
Formation energy from the elements, eV/atom: 0.356

Structure (Quantum ESPRESSO input):
```
&SYSTEM
  ibrav = 0, nat = 5, ntyp = 3
/
ATOMIC_SPECIES
Ca 40.08 Ca.upf
Y 88.91 Y.upf
Ir 192.22 Ir.upf
CELL_PARAMETERS angstrom
3.854 0.000 0.000
0.000 3.726 8.877
0.000 -3.726 8.877
ATOMIC_POSITIONS crystal
Ca 0.000 0.000 0.000
Y 0.000 0.428 0.930
Y 0.000 0.930 0.428
Y 0.500 0.812 0.812
Ir 0.500 0.661 0.661
```

=====

Density functional theory data (GGA-PBE) for crystalline Sm8HoCd6 at its relaxed geometry. Values from VASP.

Output
Uncorrected energy, eV per atom: -3.272
D(E_F), states/eV/cell: 19.1
Formation energy from the elements, eV/atom: -0.084

Structure (Quantum ESPRESSO input):
```
&SYSTEM
  ibrav = 0, nat = 15, ntyp = 3
/
ATOMIC_SPECIES
Sm 150.36 Sm.upf
Ho 164.93 Ho.upf
Cd 112.41 Cd.upf
CELL_PARAMETERS angstrom
4.547 2.625 6.483
-4.547 2.625 6.483
0.000 -5.250 6.483
ATOMIC_POSITIONS crystal
Sm 0.047 0.718 0.384
Sm 0.166 0.166 0.166
Sm 0.282 0.616 0.953
Sm 0.384 0.047 0.718
Sm 0.616 0.953 0.282
Sm 0.718 0.384 0.047
Sm 0.834 0.834 0.834
Sm 0.953 0.282 0.616
Ho 0.500 0.500 0.500
Cd 0.121 0.450 0.779
Cd 0.221 0.879 0.550
Cd 0.450 0.779 0.121
Cd 0.550 0.221 0.879
Cd 0.779 0.121 0.450
Cd 0.879 0.550 0.221
```

=====

Density functional theory data (GGA-PBE) for crystalline PPbS2Br at its relaxed geometry. Values from VASP.

Output
Uncorrected energy, eV per atom: -2.806
Raw formation energy, eV per formula unit: 5.01
D(E_F), states/eV/cell: 7.2

Structure (Quantum ESPRESSO input):
```
&SYSTEM
  ibrav = 0, nat = 5, ntyp = 4
/
ATOMIC_SPECIES
P 30.97 P.upf
Pb 207.20 Pb.upf
S 32.06 S.upf
Br 79.90 Br.upf
CELL_PARAMETERS angstrom
5.093 0.000 0.000
0.000 5.093 0.000
0.000 0.000 5.721
ATOMIC_POSITIONS crystal
P 0.000 0.000 0.000
Pb 0.000 0.000 0.500
S 0.000 0.500 0.500
S 0.500 0.000 0.500
Br 0.500 0.500 0.000
```

=====

Density functional theory data (GGA-PBE) for crystalline Sm2ScF at its relaxed geometry. Values from VASP.

Output
Uncorrected energy, eV per atom: -5.278
Raw formation energy, eV per formula unit: -3.47
D(E_F), states/eV/cell: 5.6

Structure (Quantum ESPRESSO input):
```
&SYSTEM
  ibrav = 0, nat = 4, ntyp = 3
/
ATOMIC_SPECIES
Sm 150.36 Sm.upf
Sc 44.96 Sc.upf
F 19.00 F.upf
CELL_PARAMETERS angstrom
1.654 0.955 10.184
-1.654 0.955 10.184
0.000 -1.909 10.184
ATOMIC_POSITIONS crystal
Sm 0.104 0.104 0.104
Sm 0.896 0.896 0.896
Sc 0.000 0.000 0.000
F 0.500 0.500 0.500
```

=====

Which formula does entry 7 have? PPbS2Br